First-principles (PBE) data for a relaxed structure of Sr2TlPb3, as listed in Alexandria.

Properties
Energy of formation in meV per atom: -364
SG: Cm, No. 8

Lattice parameters (Å, degrees): 12.613 4.940 8.221 90.00 125.71 90.00
Element x y z (fractional)
Sr1 0.000 0.000 0.000
Sr2 0.102 0.000 0.598
Sr3 0.500 0.500 0.000
Sr4 0.602 0.500 0.598
Tl1 0.396 0.000 0.223
Tl2 0.896 0.500 0.223
Pb1 0.212 0.500 0.376
Pb2 0.212 0.500 0.982
Pb3 0.397 0.000 0.628
Pb4 0.712 0.000 0.376
Pb5 0.712 0.000 0.982
Pb6 0.897 0.500 0.628

***

First-principles (PBE) data for a relaxed structure of Y2TlPbN, as listed in Alexandria.

Properties
Energy relative to the elements, uncorrected in eV/atom: -0.514
SG: P4/mmm, No. 123

Lattice parameters (Å, degrees): 4.809 4.809 5.114 90.00 90.00 90.00
Element x y z (fractional)
Y1 0.000 0.500 0.000
Y2 0.500 0.000 0.000
Tl1 0.000 0.000 0.500
Pb1 0.500 0.500 0.500
N1 0.000 0.000 0.000

***

First-principles (PBE) data for a relaxed structure of Mn2ZnIn, as listed in Alexandria.

Properties
Energy of formation in meV per atom: 295
SG: R-3m, No. 166

Lattice parameters (Å, degrees): 2.963 2.963 26.128 90.00 90.00 120.00
Element x y z (fractional)
Mn1 0.000 0.000 0.244
Mn2 0.000 0.000 0.756
Mn3 0.333 0.667 0.423
Mn4 0.333 0.667 0.911
Mn5 0.667 0.333 0.089
Mn6 0.667 0.333 0.577
Zn1 0.000 0.000 0.500
Zn2 0.333 0.667 0.167
Zn3 0.667 0.333 0.833
In1 0.000 0.000 0.000
In2 0.333 0.667 0.667
In3 0.667 0.333 0.333

***

Copy entry 2 word for word.
First-principles (PBE) data for a relaxed structure of Y2TlPbN, as listed in Alexandria.

Properties
Energy relative to the elements, uncorrected in eV/atom: -0.514
SG: P4/mmm, No. 123

Lattice parameters (Å, degrees): 4.809 4.809 5.114 90.00 90.00 90.00
Element x y z (fractional)
Y1 0.000 0.500 0.000
Y2 0.500 0.000 0.000
Tl1 0.000 0.000 0.500
Pb1 0.500 0.500 0.500
N1 0.000 0.000 0.000